DFT (PBE) results for crystalline YZrNi2 at its relaxed geometry.

Cell lengths 3.302, 3.299, 6.684 Å; angles 90.00, 90.00, 90.00 degrees
Positions (direct):
Y 0.500 0.500 0.250
Ni 0.000 0.000 0.960
Ni 0.000 0.000 0.540
Zr 0.500 0.500 0.750

DOS(E_F): 1.0989 states/eV per atom
Final energy: -7.017 eV per atom